Entry 1:
The following is a DFT calculation (GGA-PBE) of a relaxed structure of Tb3Sm4PuTe8.

Unit cell a=8.8454 b=8.8454 c=8.8454 alpha=59.79 beta=59.79 gamma=59.79
With the nearest neighbours (Å) after each atom.
Sites, in units of the cell vectors:
1 Tb 0.0000 0.5000 0.5000  6 Te 3.10
2 Tb 0.5000 0.0000 0.5000  6 Te 3.10
3 Tb 0.5000 0.5000 0.0000  6 Te 3.10
4 Sm 0.0000 0.0000 0.5000  6 Te 3.15
5 Sm 0.0000 0.5000 0.0000  6 Te 3.15
6 Sm 0.5000 0.0000 0.0000  6 Te 3.15
7 Sm 0.5000 0.5000 0.5000  6 Te 3.13
8 Pu 0.0000 0.0000 0.0000  6 Te 3.11
9 Te 0.2491 0.2491 0.7470  2 Tb 3.10, 1 Pu 3.11, 3 Sm 3.13-3.15
10 Te 0.2491 0.7470 0.2491  2 Tb 3.10, 1 Pu 3.11, 3 Sm 3.13-3.15
11 Te 0.2520 0.2520 0.2520  3 Tb 3.10, 3 Sm 3.15
12 Te 0.2530 0.7509 0.7509  2 Tb 3.10, 1 Pu 3.11, 3 Sm 3.13-3.15
13 Te 0.7470 0.2491 0.2491  2 Tb 3.10, 1 Pu 3.11, 3 Sm 3.13-3.15
14 Te 0.7480 0.7480 0.7480  3 Tb 3.10, 3 Sm 3.15
15 Te 0.7509 0.2530 0.7509  2 Tb 3.10, 1 Pu 3.11, 3 Sm 3.13-3.15
16 Te 0.7509 0.7509 0.2530  2 Tb 3.10, 1 Pu 3.11, 3 Sm 3.13-3.15

Calculated values
The calculation puts the uncorrected formation energy at -1.3292 eV per atom.



Entry 2:
The following is a DFT calculation (GGA-PBE) of a relaxed structure of Tb3Sm2PuTe6.

Unit cell a=9.8573 b=9.8573 c=8.8512 alpha=103.21 beta=103.21 gamma=25.70
With the nearest neighbours (Å) after each atom.
Sites, in units of the cell vectors:
1 Tb 0.0000 0.0000 0.0000  6 Te 3.10
2 Tb 0.3325 0.3325 0.6648  6 Te 3.08-3.10
3 Tb 0.6675 0.6675 0.3352  6 Te 3.08-3.10
4 Sm 0.3344 0.3344 0.1684  6 Te 3.13-3.15
5 Sm 0.6656 0.6656 0.8316  6 Te 3.13-3.15
6 Pu 0.0000 0.0000 0.5000  6 Te 3.13
7 Te 0.1658 0.1658 0.0869  3 Tb 3.10, 3 Sm 3.15
8 Te 0.1672 0.1672 0.5799  3 Tb 3.08-3.09, 1 Pu 3.13, 2 Sm 3.13
9 Te 0.4981 0.4981 0.7515  3 Tb 3.09-3.10, 1 Sm 3.13, 2 Pu 3.13
10 Te 0.5019 0.5019 0.2485  3 Tb 3.09-3.10, 1 Sm 3.13, 2 Pu 3.13
11 Te 0.8328 0.8328 0.4201  3 Tb 3.08-3.09, 1 Pu 3.13, 2 Sm 3.13
12 Te 0.8342 0.8342 0.9131  3 Tb 3.10, 3 Sm 3.15

Calculated values
The calculation puts the uncorrected formation energy at -1.3150 eV per atom.



Entry 3:
The following is a DFT calculation (GGA-PBE) of a relaxed structure of TbSm3Pu2Te6.

Unit cell a=9.9088 b=9.9088 c=8.8839 alpha=103.28 beta=103.28 gamma=25.71
With the nearest neighbours (Å) after each atom.
Sites, in units of the cell vectors:
1 Tb 0.0000 0.0000 0.0000  6 Te 3.10-3.11
2 Sm 0.0000 0.0000 0.5000  6 Te 3.14-3.15
3 Sm 0.3327 0.3327 0.1657  6 Te 3.14-3.15
4 Sm 0.6673 0.6673 0.8343  6 Te 3.14-3.15
5 Pu 0.3339 0.3339 0.6667  6 Te 3.12-3.13
6 Pu 0.6661 0.6661 0.3333  6 Te 3.12-3.13
7 Te 0.1650 0.1650 0.0842  1 Tb 3.10, 2 Pu 3.12, 3 Sm 3.14-3.15
8 Te 0.1673 0.1673 0.5824  3 Pu 3.12-3.13, 3 Sm 3.14
9 Te 0.4998 0.4998 0.2462  2 Tb 3.11, 1 Pu 3.12, 3 Sm 3.14-3.15
10 Te 0.5002 0.5002 0.7538  2 Tb 3.11, 1 Pu 3.12, 3 Sm 3.14-3.15
11 Te 0.8327 0.8327 0.4176  3 Pu 3.12-3.13, 3 Sm 3.14
12 Te 0.8350 0.8350 0.9158  1 Tb 3.10, 2 Pu 3.12, 3 Sm 3.14-3.15

Calculated values
The calculation puts the uncorrected formation energy at -1.2938 eV per atom.



Entry 4:
The following is a DFT calculation (GGA-PBE) of a relaxed structure of TbSm2Pu3Te6.

Unit cell a=9.9210 b=9.9210 c=8.8832 alpha=103.61 beta=103.61 gamma=25.67
With the nearest neighbours (Å) after each atom.
Sites, in units of the cell vectors:
1 Tb 0.0000 0.0000 0.0000  6 Te 3.10-3.11
2 Sm 0.3330 0.3330 0.6655  6 Te 3.13-3.15
3 Sm 0.6670 0.6670 0.3345  6 Te 3.13-3.15
4 Pu 0.0000 0.0000 0.5000  6 Te 3.12-3.15
5 Pu 0.3323 0.3323 0.1663  6 Te 3.12-3.14
6 Pu 0.6677 0.6677 0.8337  6 Te 3.12-3.14
7 Te 0.1653 0.1653 0.0815  1 Tb 3.10, 3 Pu 3.12-3.14, 2 Sm 3.14
8 Te 0.1660 0.1660 0.5848  3 Pu 3.12, 3 Sm 3.13-3.14
9 Te 0.4992 0.4992 0.2469  2 Tb 3.11, 3 Pu 3.14-3.15, 1 Sm 3.15
10 Te 0.5008 0.5008 0.7531  2 Tb 3.11, 3 Pu 3.14-3.15, 1 Sm 3.15
11 Te 0.8340 0.8340 0.4152  3 Pu 3.12, 3 Sm 3.13-3.14
12 Te 0.8347 0.8347 0.9185  1 Tb 3.10, 3 Pu 3.12-3.14, 2 Sm 3.14

Calculated values
The calculation puts the uncorrected formation energy at -1.2483 eV per atom.



Entry 5:
The following is a DFT calculation (GGA-PBE) of a relaxed structure of Tb3SmPu2Te6.

Unit cell a=9.8589 b=9.8589 c=8.8400 alpha=103.29 beta=103.29 gamma=25.70
With the nearest neighbours (Å) after each atom.
Sites, in units of the cell vectors:
1 Tb 0.0000 0.0000 0.0000  6 Te 3.09-3.10
2 Tb 0.3342 0.3342 0.6661  6 Te 3.08-3.10
3 Tb 0.6658 0.6658 0.3339  6 Te 3.08-3.10
4 Sm 0.0000 0.0000 0.5000  6 Te 3.14
5 Pu 0.3340 0.3340 0.1672  6 Te 3.12-3.14
6 Pu 0.6660 0.6660 0.8328  6 Te 3.12-3.14
7 Te 0.1661 0.1661 0.0856  3 Tb 3.10, 3 Pu 3.13-3.14
8 Te 0.1682 0.1682 0.5820  3 Tb 3.09-3.10, 2 Pu 3.13, 1 Sm 3.14
9 Te 0.4992 0.4992 0.7537  3 Tb 3.08-3.09, 1 Pu 3.12, 2 Sm 3.14
10 Te 0.5008 0.5008 0.2463  3 Tb 3.08-3.09, 1 Pu 3.12, 2 Sm 3.14
11 Te 0.8318 0.8318 0.4180  3 Tb 3.09-3.10, 2 Pu 3.13, 1 Sm 3.14
12 Te 0.8339 0.8339 0.9144  3 Tb 3.10, 3 Pu 3.13-3.14

Calculated values
The calculation puts the uncorrected formation energy at -1.2731 eV per atom.



Entry 6:
The following is a DFT calculation (GGA-PBE) of a relaxed structure of TbSmPuTl.

Unit cell a=5.4608 b=5.4608 c=5.4608 alpha=60.00 beta=60.00 gamma=60.00
With the nearest neighbours (Å) after each atom.
Sites, in units of the cell vectors:
1 Tb 0.0000 0.0000 0.0000  4 Tl 3.34, 4 Pu 3.34
2 Sm 0.5000 0.5000 0.5000  4 Tl 3.34, 4 Pu 3.34
3 Pu 0.2500 0.2500 0.2500  4 Tb 3.34, 4 Sm 3.34
4 Tl 0.7500 0.7500 0.7500  4 Tb 3.34, 4 Sm 3.34

Calculated values
The value obtained for the formation energy is 3 kJ/mol of atoms.



Entry 7:
The following is a DFT calculation (GGA-PBE) of a relaxed structure of Tb3Sm2Tm6Pu.

Unit cell a=6.1055 b=6.1055 c=11.5929 alpha=95.05 beta=95.05 gamma=120.02
With the nearest neighbours (Å) after each atom.
Sites, in units of the cell vectors:
1 Tb 0.0000 0.0000 0.0000  6 Tm 3.50-3.53, 6 Tb 3.52-3.53
2 Tb 0.3328 0.6672 0.0000  6 Tm 3.50-3.53, 6 Tb 3.52-3.54
3 Tb 0.6672 0.3328 0.0000  6 Tm 3.50-3.53, 6 Tb 3.52-3.54
4 Sm 0.1665 0.8335 0.5000  6 Tm 3.50-3.51, 3 Sm 3.52-3.53, 3 Pu 3.52-3.53
5 Sm 0.8335 0.1665 0.5000  6 Tm 3.50-3.51, 3 Sm 3.52-3.53, 3 Pu 3.52-3.53
6 Tm 0.0882 0.4171 0.2509  6 Tm 3.48-3.55, 1 Pu 3.48, 2 Sm 3.50-3.51, 3 Tb 3.50-3.53
7 Tm 0.2539 0.2539 0.7493  6 Tm 3.48-3.55, 1 Pu 3.48, 2 Sm 3.50, 3 Tb 3.51-3.53
8 Tm 0.4171 0.0882 0.2509  6 Tm 3.48-3.55, 1 Pu 3.48, 2 Sm 3.50-3.51, 3 Tb 3.50-3.53
9 Tm 0.5829 0.9118 0.7491  6 Tm 3.48-3.55, 1 Pu 3.48, 2 Sm 3.50-3.51, 3 Tb 3.50-3.53
10 Tm 0.7461 0.7461 0.2507  6 Tm 3.48-3.55, 1 Pu 3.48, 2 Sm 3.50, 3 Tb 3.51-3.53
11 Tm 0.9118 0.5829 0.7491  6 Tm 3.48-3.55, 1 Pu 3.48, 2 Sm 3.50-3.51, 3 Tb 3.50-3.53
12 Pu 0.5000 0.5000 0.5000  6 Tm 3.48, 6 Sm 3.52-3.53

Calculated values
The value obtained for the formation energy is 4 kJ/mol of atoms.



Entry 8:
The following is a DFT calculation (GGA-PBE) of a relaxed structure of TbSmTmPu.

Unit cell a=5.6018 b=5.6018 c=5.6018 alpha=60.00 beta=60.00 gamma=60.00
With the nearest neighbours (Å) after each atom.
Sites, in units of the cell vectors:
1 Tb 0.0000 0.0000 0.0000  4 Sm 3.43, 4 Pu 3.43
2 Sm 0.2500 0.2500 0.2500  4 Tb 3.43, 4 Tm 3.43
3 Tm 0.5000 0.5000 0.5000  4 Pu 3.43, 4 Sm 3.43
4 Pu 0.7500 0.7500 0.7500  4 Tb 3.43, 4 Tm 3.43

Calculated values
The value obtained for the formation energy is 20 kJ/mol of atoms.



Entry 9:
The following is a DFT calculation (GGA-PBE) of a relaxed structure of Tb2Sm6Y3Pu.

Unit cell a=6.2228 b=6.2228 c=11.8168 alpha=95.04 beta=95.04 gamma=120.01
With the nearest neighbours (Å) after each atom.
Sites, in units of the cell vectors:
1 Tb 0.1665 0.8335 0.0000  6 Sm 3.55-3.56, 3 Tb 3.59, 3 Pu 3.59
2 Tb 0.8335 0.1665 0.0000  6 Sm 3.55-3.56, 3 Tb 3.59, 3 Pu 3.59
3 Sm 0.0880 0.4177 0.7523  1 Pu 3.54, 6 Sm 3.55-3.61, 2 Tb 3.56, 3 Y 3.59-3.61
4 Sm 0.2525 0.2525 0.2476  1 Pu 3.54, 6 Sm 3.55-3.61, 2 Tb 3.55, 3 Y 3.59-3.61
5 Sm 0.4177 0.0880 0.7523  1 Pu 3.54, 6 Sm 3.55-3.61, 2 Tb 3.56, 3 Y 3.59-3.61
6 Sm 0.5823 0.9120 0.2477  1 Pu 3.54, 6 Sm 3.55-3.61, 2 Tb 3.56, 3 Y 3.59-3.61
7 Sm 0.7475 0.7475 0.7524  1 Pu 3.54, 6 Sm 3.55-3.61, 2 Tb 3.55, 3 Y 3.59-3.61
8 Sm 0.9120 0.5823 0.2477  1 Pu 3.54, 6 Sm 3.55-3.61, 2 Tb 3.56, 3 Y 3.59-3.61
9 Y 0.0000 0.0000 0.5000  6 Sm 3.59-3.61, 6 Y 3.59
10 Y 0.3332 0.6668 0.5000  6 Sm 3.59-3.61, 6 Y 3.59-3.60
11 Y 0.6668 0.3332 0.5000  6 Sm 3.59-3.61, 6 Y 3.59-3.60
12 Pu 0.5000 0.5000 0.0000  6 Sm 3.54, 6 Tb 3.59

Calculated values
The value obtained for the formation energy is 4 kJ/mol of atoms.



Entry 10:
The following is a DFT calculation (GGA-PBE) of a relaxed structure of Tb6Sm2Y3Pu.

Unit cell a=6.1770 b=6.1770 c=11.7776 alpha=95.03 beta=95.03 gamma=120.05
With the nearest neighbours (Å) after each atom.
Sites, in units of the cell vectors:
1 Tb 0.0825 0.4117 0.7489  6 Tb 3.52-3.59, 1 Pu 3.53, 2 Sm 3.55, 3 Y 3.56-3.58
2 Tb 0.2468 0.2468 0.2510  6 Tb 3.52-3.59, 1 Pu 3.53, 2 Sm 3.55, 3 Y 3.56-3.58
3 Tb 0.4117 0.0825 0.7489  6 Tb 3.52-3.59, 1 Pu 3.53, 2 Sm 3.55, 3 Y 3.56-3.58
4 Tb 0.5883 0.9175 0.2511  6 Tb 3.52-3.59, 1 Pu 3.53, 2 Sm 3.55, 3 Y 3.56-3.58
5 Tb 0.7532 0.7532 0.7490  6 Tb 3.52-3.59, 1 Pu 3.53, 2 Sm 3.55, 3 Y 3.56-3.58
6 Tb 0.9175 0.5883 0.2511  6 Tb 3.52-3.59, 1 Pu 3.53, 2 Sm 3.55, 3 Y 3.56-3.58
7 Sm 0.3334 0.6666 0.5000  6 Tb 3.55, 3 Pu 3.56-3.57, 3 Sm 3.57
8 Sm 0.6666 0.3334 0.5000  6 Tb 3.55, 3 Pu 3.56-3.57, 3 Sm 3.57
9 Y 0.1668 0.8332 0.0000  6 Tb 3.56-3.58, 6 Y 3.56-3.57
10 Y 0.5000 0.5000 0.0000  6 Tb 3.56-3.58, 6 Y 3.57
11 Y 0.8332 0.1668 0.0000  6 Tb 3.56-3.58, 6 Y 3.56-3.57
12 Pu 0.0000 0.0000 0.5000  6 Tb 3.53, 6 Sm 3.56-3.57

Calculated values
The value obtained for the formation energy is 5 kJ/mol of atoms.



Entry 11:
The following is a DFT calculation (GGA-PBE) of a relaxed structure of Tb3Sm2Y6Pu.

Unit cell a=6.1811 b=6.1811 c=11.7711 alpha=95.03 beta=95.03 gamma=120.03
With the nearest neighbours (Å) after each atom.
Sites, in units of the cell vectors:
1 Tb 0.0000 0.0000 0.0000  6 Y 3.55-3.57, 6 Tb 3.57
2 Tb 0.3330 0.6670 0.0000  6 Y 3.55-3.57, 6 Tb 3.56-3.58
3 Tb 0.6670 0.3330 0.0000  6 Y 3.55-3.57, 6 Tb 3.56-3.58
4 Sm 0.1665 0.8335 0.5000  6 Y 3.55-3.56, 3 Sm 3.57, 3 Pu 3.57
5 Sm 0.8335 0.1665 0.5000  6 Y 3.55-3.56, 3 Sm 3.57, 3 Pu 3.57
6 Y 0.0878 0.4172 0.2507  6 Y 3.53-3.59, 1 Pu 3.53, 3 Tb 3.55-3.57, 2 Sm 3.56
7 Y 0.2534 0.2534 0.7494  6 Y 3.53-3.59, 1 Pu 3.54, 2 Sm 3.55, 3 Tb 3.56-3.57
8 Y 0.4172 0.0878 0.2507  6 Y 3.53-3.59, 1 Pu 3.53, 3 Tb 3.55-3.57, 2 Sm 3.56
9 Y 0.5828 0.9122 0.7493  6 Y 3.53-3.59, 1 Pu 3.53, 3 Tb 3.55-3.57, 2 Sm 3.56
10 Y 0.7466 0.7466 0.2506  6 Y 3.53-3.59, 1 Pu 3.54, 2 Sm 3.55, 3 Tb 3.56-3.57
11 Y 0.9122 0.5828 0.7493  6 Y 3.53-3.59, 1 Pu 3.53, 3 Tb 3.55-3.57, 2 Sm 3.56
12 Pu 0.5000 0.5000 0.5000  6 Y 3.53-3.54, 6 Sm 3.57

Calculated values
The value obtained for the formation energy is 5 kJ/mol of atoms.



Entry 12:
The following is a DFT calculation (GGA-PBE) of a relaxed structure of Tb2Sm3Y6Pu.

Unit cell a=6.1914 b=6.1914 c=11.7801 alpha=95.03 beta=95.03 gamma=120.01
With the nearest neighbours (Å) after each atom.
Sites, in units of the cell vectors:
1 Tb 0.1666 0.8334 0.0000  6 Y 3.53, 3 Tb 3.57-3.58, 3 Pu 3.57-3.58
2 Tb 0.8334 0.1666 0.0000  6 Y 3.53, 3 Tb 3.57-3.58, 3 Pu 3.57-3.58
3 Sm 0.0000 0.0000 0.5000  6 Sm 3.57-3.58, 6 Y 3.59-3.61
4 Sm 0.3329 0.6671 0.5000  6 Sm 3.57-3.58, 6 Y 3.59-3.60
5 Sm 0.6671 0.3329 0.5000  6 Sm 3.57-3.58, 6 Y 3.59-3.60
6 Y 0.0886 0.4180 0.7536  1 Pu 3.51, 2 Tb 3.53, 6 Y 3.53-3.60, 3 Sm 3.59-3.60
7 Y 0.2526 0.2526 0.2465  1 Pu 3.51, 2 Tb 3.53, 6 Y 3.53-3.60, 3 Sm 3.59-3.61
8 Y 0.4180 0.0886 0.7536  1 Pu 3.51, 2 Tb 3.53, 6 Y 3.53-3.60, 3 Sm 3.59-3.60
9 Y 0.5820 0.9114 0.2464  1 Pu 3.51, 2 Tb 3.53, 6 Y 3.53-3.60, 3 Sm 3.59-3.60
10 Y 0.7474 0.7474 0.7535  1 Pu 3.51, 2 Tb 3.53, 6 Y 3.53-3.60, 3 Sm 3.59-3.61
11 Y 0.9114 0.5820 0.2464  1 Pu 3.51, 2 Tb 3.53, 6 Y 3.53-3.60, 3 Sm 3.59-3.60
12 Pu 0.5000 0.5000 0.0000  6 Y 3.51, 6 Tb 3.57-3.58

Calculated values
The value obtained for the formation energy is 4 kJ/mol of atoms.



Copy entry 4 word for word.
The following is a DFT calculation (GGA-PBE) of a relaxed structure of TbSm2Pu3Te6.

Unit cell a=9.9210 b=9.9210 c=8.8832 alpha=103.61 beta=103.61 gamma=25.67
With the nearest neighbours (Å) after each atom.
Sites, in units of the cell vectors:
1 Tb 0.0000 0.0000 0.0000  6 Te 3.10-3.11
2 Sm 0.3330 0.3330 0.6655  6 Te 3.13-3.15
3 Sm 0.6670 0.6670 0.3345  6 Te 3.13-3.15
4 Pu 0.0000 0.0000 0.5000  6 Te 3.12-3.15
5 Pu 0.3323 0.3323 0.1663  6 Te 3.12-3.14
6 Pu 0.6677 0.6677 0.8337  6 Te 3.12-3.14
7 Te 0.1653 0.1653 0.0815  1 Tb 3.10, 3 Pu 3.12-3.14, 2 Sm 3.14
8 Te 0.1660 0.1660 0.5848  3 Pu 3.12, 3 Sm 3.13-3.14
9 Te 0.4992 0.4992 0.2469  2 Tb 3.11, 3 Pu 3.14-3.15, 1 Sm 3.15
10 Te 0.5008 0.5008 0.7531  2 Tb 3.11, 3 Pu 3.14-3.15, 1 Sm 3.15
11 Te 0.8340 0.8340 0.4152  3 Pu 3.12, 3 Sm 3.13-3.14
12 Te 0.8347 0.8347 0.9185  1 Tb 3.10, 3 Pu 3.12-3.14, 2 Sm 3.14

Calculated values
The calculation puts the uncorrected formation energy at -1.2483 eV per atom.